This record from the Alexandria database describes a PBEsol-optimized structure of IrAuBr2. The functional is SCAN.

abc: 3.0718 3.0718 8.0129
angles: 90.00 90.00 90.00
Positions (direct):
Ir 0.5000 0.5000 0.0000
Au 0.5000 0.5000 0.5000
Br 0.0000 0.0000 0.7890
Br 0.0000 0.0000 0.2110

Values from the calculation:
SG ... No. 123
Distance to the lowest polymorph of the same formula ... 0.815 eV/atom
Energy relative to the elements, uncorrected ... 1144 meV per atom